This record from Alexandria describes Al2RuAu after structural relaxation. The functional is PBE-GGA.

DOS(E_F) in states/eV/atom: 0.71
Final energy in eV/atom: -5.33

Cell lengths 8.493, 8.493, 8.493 Å; angles 19.94, 19.94, 19.94 degrees
Positions (direct):
Al 0.007 0.007 0.007
Ru 0.750 0.750 0.750
Al 0.493 0.493 0.493
Au 0.250 0.250 0.250